VASP calculation (PBE) on a geometry-optimized BaZrSc2 structure.

a = 5.876 Å, b = 5.876 Å, c = 3.389 Å
α = 90.00°, β = 90.00°, γ = 107.95°
Sites, in units of the cell vectors:
Zr  0.500  0.000  0.500
Ba  0.000  0.500  0.500
Sc  0.000  0.000  0.000
Sc  0.500  0.500  0.000

Properties
Fermi-level density of states = 5.780 states/eV/f.u.
distance to the lowest polymorph of the same formula = 4.238 kcal/mol of atoms
DFT total energy = -21.48 eV/cell
magnetization = 0.000 μB per atom


VASP calculation (PBE) on a geometry-optimized BaZrSc2 structure.

a = 11.556 Å, b = 11.556 Å, c = 11.556 Å
α = 16.95°, β = 16.95°, γ = 16.95°
Sites, in units of the cell vectors:
Sc  0.991  0.991  0.991
Sc  0.248  0.248  0.248
Ba  0.751  0.751  0.751
Zr  0.510  0.510  0.510

Properties
Fermi-level density of states = 6.041 states/eV/f.u.
distance to the lowest polymorph of the same formula = 2.692 kcal/mol of atoms
DFT total energy = -21.75 eV/cell
magnetization = 0.003 μB per atom


VASP calculation (PBE) on a geometry-optimized BaZrSc2 structure.

a = 3.375 Å, b = 3.375 Å, c = 10.399 Å
α = 90.00°, β = 90.00°, γ = 89.98°
Last column: magnetic moment on the atom in μB.
Sites, in units of the cell vectors:
Sc  0.000  0.000  0.044  0.47
Sc  0.500  0.500  0.259  0.14
Ba  0.500  0.500  0.745  0.04
Zr  0.000  0.000  0.453  -0.07

Properties
Fermi-level density of states = 6.331 states/eV/f.u.
distance to the lowest polymorph of the same formula = 1.842 kcal/mol of atoms
DFT total energy = -21.90 eV/cell
magnetization = 0.249 μB per atom


VASP calculation (PBE) on a geometry-optimized BaZrSc2 structure.

a = 5.713 Å, b = 5.713 Å, c = 6.599 Å
α = 85.08°, β = 85.08°, γ = 33.73°
Sites, in units of the cell vectors:
Sc  0.245  0.245  0.265
Sc  0.994  0.994  0.049
Zr  0.509  0.509  0.436
Ba  0.752  0.752  0.750

Properties
Fermi-level density of states = 6.246 states/eV/f.u.
distance to the lowest polymorph of the same formula = 2.962 kcal/mol of atoms
DFT total energy = -21.70 eV/cell
magnetization = 0.000 μB per atom


VASP calculation (PBE) on a geometry-optimized BaZrSc2 structure.

a = 11.489 Å, b = 11.489 Å, c = 11.489 Å
α = 17.15°, β = 17.15°, γ = 17.15°
Sites, in units of the cell vectors:
Zr  0.250  0.250  0.250
Ba  0.750  0.750  0.750
Sc  0.989  0.989  0.989
Sc  0.511  0.511  0.511

Properties
Fermi-level density of states = 5.279 states/eV/f.u.
distance to the lowest polymorph of the same formula = 1.133 kcal/mol of atoms
DFT total energy = -22.02 eV/cell
magnetization = 0.000 μB per atom


VASP calculation (PBE) on a geometry-optimized BaZrSc structure.

a = 8.498 Å, b = 8.497 Å, c = 3.393 Å
α = 78.50°, β = 78.47°, γ = 23.03°
Sites, in units of the cell vectors:
Ba  0.004  0.004  0.996
Zr  0.687  0.687  0.313
Sc  0.309  0.309  0.691

Properties
Fermi-level density of states = 4.718 states/eV/f.u.
distance to the lowest polymorph of the same formula = 0.000 kcal/mol of atoms
DFT total energy = -15.79 eV/cell
magnetization = 0.000 μB per atom


VASP calculation (PBE) on a geometry-optimized Ba2Se structure.

a = 6.667 Å, b = 6.667 Å, c = 11.642 Å
α = 61.30°, β = 61.30°, γ = 37.59°
Sites, in units of the cell vectors:
Se  0.823  0.823  0.127
Se  0.177  0.177  0.873
Ba  0.560  0.560  0.126
Ba  0.440  0.440  0.874
Ba  0.812  0.812  0.627
Ba  0.188  0.188  0.373

Properties
Fermi-level density of states = 2.987 states/eV/f.u.
formation energy from raw total energies = -1175 meV per atom
DFT total energy = -21.71 eV/cell
magnetization = 0.000 μB per atom


VASP calculation (PBE) on a geometry-optimized Ba4Se5 structure.

a = 9.223 Å, b = 9.223 Å, c = 9.223 Å
α = 93.71°, β = 93.71°, γ = 150.52°
Sites, in units of the cell vectors:
Ba  0.000  0.238  0.238
Ba  0.762  0.000  0.762
Ba  0.238  0.000  0.238
Ba  0.000  0.762  0.762
Se  0.674  0.674  0.347
Se  0.326  0.326  0.653
Se  0.000  0.000  0.000
Se  0.674  0.326  0.000
Se  0.326  0.674  0.000

Properties
Fermi-level density of states = 6.956 states/eV/f.u.
formation energy from raw total energies = -1271 meV per atom
DFT total energy = -36.55 eV/cell
magnetization = 0.000 μB per atom


VASP calculation (PBE) on a geometry-optimized BaSe2 structure.

a = 6.218 Å, b = 6.218 Å, c = 6.218 Å
α = 60.00°, β = 60.00°, γ = 60.00°
Sites, in units of the cell vectors:
Ba  0.750  0.750  0.750
Ba  0.500  0.500  0.500
Se  0.125  0.625  0.125
Se  0.125  0.125  0.625
Se  0.125  0.125  0.125
Se  0.625  0.125  0.125

Properties
Fermi-level density of states = 0.994 states/eV/f.u.
formation energy from raw total energies = -762 meV per atom
DFT total energy = -22.36 eV/cell
magnetization = 0.000 μB per atom


VASP calculation (PBE) on a geometry-optimized BaSe3 structure.

a = 3.926 Å, b = 4.580 Å, c = 6.876 Å
α = 73.93°, β = 90.00°, γ = 90.00°
Sites, in units of the cell vectors:
Ba  0.000  0.000  0.000
Se  0.500  0.588  0.748
Se  0.500  0.412  0.252
Se  0.000  0.500  0.500

Properties
Fermi-level density of states = 0.026 states/eV/f.u.
formation energy from raw total energies = -890 meV per atom
DFT total energy = -15.94 eV/cell
magnetization = 0.000 μB per atom


VASP calculation (PBE) on a geometry-optimized BaSe3 structure.

a = 4.733 Å, b = 4.733 Å, c = 4.733 Å
α = 90.00°, β = 90.00°, γ = 90.00°
Sites, in units of the cell vectors:
Ba  0.000  0.000  0.000
Se  0.500  0.500  0.000
Se  0.500  0.000  0.500
Se  0.000  0.500  0.500

Properties
Fermi-level density of states = 2.837 states/eV/f.u.
formation energy from raw total energies = -645 meV per atom
DFT total energy = -14.96 eV/cell
magnetization = 0.000 μB per atom


VASP calculation (PBE) on a geometry-optimized BaSe structure.

a = 8.610 Å, b = 8.610 Å, c = 8.610 Å
α = 34.65°, β = 34.65°, γ = 34.65°
Sites, in units of the cell vectors:
Ba  0.928  0.928  0.928
Ba  0.072  0.072  0.072
Se  0.667  0.667  0.667
Se  0.333  0.333  0.333

Properties
Fermi-level density of states = 0.838 states/eV/f.u.
formation energy from raw total energies = -1001 meV per atom
DFT total energy = -14.82 eV/cell
magnetization = 0.139 μB per atom


VASP calculation (PBE) on a geometry-optimized Ba4Se3 structure.

a = 6.848 Å, b = 6.848 Å, c = 6.227 Å
α = 90.00°, β = 90.00°, γ = 120.00°
Last column: magnetic moment on the atom in μB.
Sites, in units of the cell vectors:
Se  0.500  0.000  0.000  0.01
Se  0.500  0.500  0.000  0.01
Se  0.000  0.500  0.000  0.01
Ba  0.000  0.000  0.236  0.24
Ba  0.000  0.000  0.764  0.24
Ba  0.333  0.667  0.500  0.17
Ba  0.667  0.333  0.500  0.17

Properties
Fermi-level density of states = 5.996 states/eV/f.u.
distance to the lowest polymorph of the same formula = 24.241 kcal/mol of atoms
formation energy from raw total energies = -663 meV per atom
DFT total energy = -22.79 eV/cell
magnetization = 0.343 μB per atom


VASP calculation (PBE) on a geometry-optimized BaSe2 structure.

a = 5.833 Å, b = 5.833 Å, c = 9.127 Å
α = 70.00°, β = 70.00°, γ = 51.70°
Sites, in units of the cell vectors:
Ba  0.960  0.960  0.039
Ba  0.307  0.307  0.594
Se  0.531  0.531  0.758
Se  0.989  0.989  0.382
Se  0.299  0.299  0.982
Se  0.748  0.748  0.412

Properties
formation energy from raw total energies = -1294 meV per atom
DFT total energy = -25.55 eV/cell
magnetization = 0.000 μB per atom


VASP calculation (PBE) on a geometry-optimized BaSe structure.

a = 5.196 Å, b = 5.196 Å, c = 5.196 Å
α = 60.00°, β = 60.00°, γ = 60.00°
Sites, in units of the cell vectors:
Ba  0.000  0.000  0.000
Se  0.250  0.250  0.250

Properties
Fermi-level density of states = 0.000 states/eV/f.u.
formation energy from raw total energies = -1803 meV per atom
DFT total energy = -9.01 eV/cell
magnetization = 0.000 μB per atom


VASP calculation (PBE) on a geometry-optimized Ba2Se structure.

a = 15.884 Å, b = 15.884 Å, c = 15.884 Å
α = 165.22°, β = 165.22°, γ = 20.97°
Sites, in units of the cell vectors:
Ba  0.190  0.690  0.500
Ba  0.440  0.440  0.000
Ba  0.310  0.810  0.500
Ba  0.560  0.560  0.000
Se  0.000  0.000  0.000
Se  0.750  0.250  0.500

Properties
Fermi-level density of states = 2.669 states/eV/f.u.
formation energy from raw total energies = -1130 meV per atom
DFT total energy = -21.44 eV/cell
magnetization = 0.000 μB per atom


VASP calculation (PBE) on a geometry-optimized BaSe3 structure.

a = 4.644 Å, b = 4.644 Å, c = 6.081 Å
α = 90.00°, β = 90.00°, γ = 106.99°
Sites, in units of the cell vectors:
Se  0.000  0.000  0.500
Se  0.500  0.500  0.300
Se  0.500  0.500  0.700
Ba  0.000  0.000  0.000

Properties
Fermi-level density of states = 1.730 states/eV/f.u.
formation energy from raw total energies = -530 meV per atom
DFT total energy = -14.50 eV/cell
magnetization = 0.000 μB per atom


VASP calculation (PBE) on a geometry-optimized BaSe5 structure.

a = 5.947 Å, b = 5.947 Å, c = 5.947 Å
α = 60.00°, β = 60.00°, γ = 60.00°
Last column: magnetic moment on the atom in μB.
Sites, in units of the cell vectors:
Se  0.623  0.623  0.623  0.10
Se  0.130  0.623  0.623  0.10
Se  0.250  0.250  0.250  0.56
Se  0.623  0.130  0.623  0.10
Se  0.623  0.623  0.130  0.10
Ba  0.000  0.000  0.000  0.01

Properties
Fermi-level density of states = 5.935 states/eV/f.u.
distance to the lowest polymorph of the same formula = 9.085 kcal/mol of atoms
formation energy from raw total energies = -221 meV per atom
DFT total energy = -20.67 eV/cell
magnetization = 0.256 μB per atom


VASP calculation (PBE) on a geometry-optimized BaSe5 structure.

a = 7.241 Å, b = 7.241 Å, c = 4.311 Å
α = 90.00°, β = 90.00°, γ = 134.93°
Sites, in units of the cell vectors:
Se  0.851  0.149  0.000
Se  0.739  0.261  0.500
Se  0.261  0.739  0.500
Se  0.149  0.851  0.000
Se  0.000  0.000  0.500
Ba  0.500  0.500  0.000

Properties
Fermi-level density of states = 2.939 states/eV/f.u.
distance to the lowest polymorph of the same formula = 2.311 kcal/mol of atoms
formation energy from raw total energies = -515 meV per atom
DFT total energy = -22.43 eV/cell
magnetization = 0.000 μB per atom


VASP calculation (PBE) on a geometry-optimized Ba3Se4 structure.

a = 7.782 Å, b = 7.782 Å, c = 4.944 Å
α = 90.00°, β = 90.00°, γ = 120.00°
Sites, in units of the cell vectors:
Se  0.333  0.667  0.500
Se  0.000  0.000  0.267
Se  0.667  0.333  0.500
Se  0.000  0.000  0.733
Ba  0.500  0.500  0.000
Ba  0.500  0.000  0.000
Ba  0.000  0.500  0.000

Properties
Fermi-level density of states = 2.737 states/eV/f.u.
formation energy from raw total energies = -1237 meV per atom
DFT total energy = -28.36 eV/cell
magnetization = 0.000 μB per atom